## K2Be3Ni2F12 (PBE with a Hubbard U)

Data for an optimized crystal structure of K2Be3Ni2F12.

Summary:
The magnetic moment comes out at 3.95 μB per formula unit. As for the uncorrected energy: -5.02 eV per atom.

Lattice parameters (Å, degrees): 10.007 10.007 10.007 90.00 90.00 90.00
Element x y z (fractional)
K: 0.047 0.047 0.047
K: 0.187 0.313 0.687
K: 0.313 0.687 0.187
K: 0.453 0.953 0.547
K: 0.547 0.453 0.953
K: 0.687 0.187 0.313
K: 0.813 0.813 0.813
K: 0.953 0.547 0.453
Be: 0.023 0.210 0.377
Be: 0.123 0.977 0.710
Be: 0.210 0.377 0.023
Be: 0.290 0.623 0.523
Be: 0.377 0.023 0.210
Be: 0.477 0.790 0.877
Be: 0.523 0.290 0.623
Be: 0.623 0.523 0.290
Be: 0.710 0.123 0.977
Be: 0.790 0.877 0.477
Be: 0.877 0.477 0.790
Be: 0.977 0.710 0.123
Ni: 0.102 0.898 0.398
Ni: 0.165 0.665 0.835
Ni: 0.335 0.335 0.335
Ni: 0.398 0.102 0.898
Ni: 0.602 0.602 0.602
Ni: 0.665 0.835 0.165
Ni: 0.835 0.165 0.665
Ni: 0.898 0.398 0.102
F: 0.010 0.556 0.765
F: 0.011 0.064 0.325
F: 0.047 0.806 0.226
F: 0.056 0.735 0.990
F: 0.064 0.325 0.011
F: 0.094 0.829 0.746
F: 0.171 0.246 0.406
F: 0.175 0.989 0.564
F: 0.194 0.726 0.453
F: 0.226 0.047 0.806
F: 0.235 0.510 0.944
F: 0.246 0.406 0.171
F: 0.254 0.594 0.671
F: 0.265 0.490 0.444
F: 0.274 0.953 0.306
F: 0.306 0.274 0.953
F: 0.325 0.011 0.064
F: 0.329 0.754 0.906
F: 0.406 0.171 0.246
F: 0.436 0.675 0.511
F: 0.444 0.265 0.490
F: 0.453 0.194 0.726
F: 0.489 0.936 0.825
F: 0.490 0.444 0.265
F: 0.510 0.944 0.235
F: 0.511 0.436 0.675
F: 0.547 0.694 0.774
F: 0.556 0.765 0.010
F: 0.564 0.175 0.989
F: 0.594 0.671 0.254
F: 0.671 0.254 0.594
F: 0.675 0.511 0.436
F: 0.694 0.774 0.547
F: 0.726 0.453 0.194
F: 0.735 0.990 0.056
F: 0.746 0.094 0.829
F: 0.754 0.906 0.329
F: 0.765 0.010 0.556
F: 0.774 0.547 0.694
F: 0.806 0.226 0.047
F: 0.825 0.489 0.936
F: 0.829 0.746 0.094
F: 0.906 0.329 0.754
F: 0.936 0.825 0.489
F: 0.944 0.235 0.510
F: 0.953 0.306 0.274
F: 0.989 0.564 0.175
F: 0.990 0.056 0.735